[1]
The following is a DFT calculation (PBE-GGA) of a relaxed LiFeAsPd crystal.

a = 6.0281 Å, b = 6.0281 Å, c = 6.0281 Å
α = 90.00°, β = 90.00°, γ = 90.00°
With the nearest neighbours (Å) after each atom.
Fractional coordinates of all 16 atoms:
Li (0.0000, 0.0000, 0.0000)  4 As 2.61, 4 Pd 2.61
Li (0.0000, 0.5000, 0.5000)  4 As 2.61, 4 Pd 2.61
Li (0.5000, 0.0000, 0.5000)  4 As 2.61, 4 Pd 2.61
Li (0.5000, 0.5000, 0.0000)  4 As 2.61, 4 Pd 2.61
Fe (0.0000, 0.0000, 0.5000)  4 Pd 2.61, 4 As 2.61
Fe (0.0000, 0.5000, 0.0000)  4 Pd 2.61, 4 As 2.61
Fe (0.5000, 0.0000, 0.0000)  4 Pd 2.61, 4 As 2.61
Fe (0.5000, 0.5000, 0.5000)  4 Pd 2.61, 4 As 2.61
As (0.2500, 0.2500, 0.2500)  4 Fe 2.61, 4 Li 2.61
As (0.2500, 0.7500, 0.7500)  4 Fe 2.61, 4 Li 2.61
As (0.7500, 0.2500, 0.7500)  4 Fe 2.61, 4 Li 2.61
As (0.7500, 0.7500, 0.2500)  4 Fe 2.61, 4 Li 2.61
Pd (0.2500, 0.2500, 0.7500)  4 Fe 2.61, 4 Li 2.61
Pd (0.2500, 0.7500, 0.2500)  4 Fe 2.61, 4 Li 2.61
Pd (0.7500, 0.2500, 0.2500)  4 Fe 2.61, 4 Li 2.61
Pd (0.7500, 0.7500, 0.7500)  4 Fe 2.61, 4 Li 2.61

Crystal system: cubic
Energy relative to the lowest polymorph listed for this composition in eV/atom: 0.000

---

[2]
The following is a DFT calculation (PBE-GGA) of a relaxed LiFeAsPt crystal.

a = 5.9863 Å, b = 5.9863 Å, c = 5.9863 Å
α = 90.00°, β = 90.00°, γ = 90.00°
With the nearest neighbours (Å) after each atom.
Fractional coordinates of all 16 atoms:
Li (0.0000, 0.0000, 0.0000)  4 Fe 2.59, 4 Pt 2.59
Li (0.0000, 0.5000, 0.5000)  4 Fe 2.59, 4 Pt 2.59
Li (0.5000, 0.0000, 0.5000)  4 Fe 2.59, 4 Pt 2.59
Li (0.5000, 0.5000, 0.0000)  4 Fe 2.59, 4 Pt 2.59
Fe (0.2500, 0.2500, 0.7500)  4 As 2.59, 4 Li 2.59
Fe (0.2500, 0.7500, 0.2500)  4 As 2.59, 4 Li 2.59
Fe (0.7500, 0.2500, 0.2500)  4 As 2.59, 4 Li 2.59
Fe (0.7500, 0.7500, 0.7500)  4 Li 2.59, 4 As 2.59
As (0.0000, 0.0000, 0.5000)  4 Pt 2.59, 4 Fe 2.59
As (0.0000, 0.5000, 0.0000)  4 Fe 2.59, 4 Pt 2.59
As (0.5000, 0.0000, 0.0000)  4 Fe 2.59, 4 Pt 2.59
As (0.5000, 0.5000, 0.5000)  4 Fe 2.59, 4 Pt 2.59
Pt (0.2500, 0.2500, 0.2500)  4 As 2.59, 4 Li 2.59
Pt (0.2500, 0.7500, 0.7500)  4 As 2.59, 4 Li 2.59
Pt (0.7500, 0.2500, 0.7500)  4 As 2.59, 4 Li 2.59
Pt (0.7500, 0.7500, 0.2500)  4 As 2.59, 4 Li 2.59

Crystal system: cubic
Energy relative to the lowest polymorph listed for this composition in eV/atom: 0.016

---

[3]
The following is a DFT calculation (PBE-GGA) of a relaxed LiFeAsPt crystal.

a = 6.0427 Å, b = 6.0427 Å, c = 6.0427 Å
α = 90.00°, β = 90.00°, γ = 90.00°
With the nearest neighbours (Å) after each atom.
Fractional coordinates of all 16 atoms:
Li (0.0000, 0.0000, 0.0000)  4 As 2.62, 4 Pt 2.62
Li (0.0000, 0.5000, 0.5000)  4 As 2.62, 4 Pt 2.62
Li (0.5000, 0.0000, 0.5000)  4 As 2.62, 4 Pt 2.62
Li (0.5000, 0.5000, 0.0000)  4 As 2.62, 4 Pt 2.62
Fe (0.0000, 0.0000, 0.5000)  4 As 2.62, 4 Pt 2.62
Fe (0.0000, 0.5000, 0.0000)  4 As 2.62, 4 Pt 2.62
Fe (0.5000, 0.0000, 0.0000)  4 As 2.62, 4 Pt 2.62
Fe (0.5000, 0.5000, 0.5000)  4 As 2.62, 4 Pt 2.62
As (0.2500, 0.2500, 0.2500)  4 Fe 2.62, 4 Li 2.62
As (0.2500, 0.7500, 0.7500)  4 Fe 2.62, 4 Li 2.62
As (0.7500, 0.2500, 0.7500)  4 Fe 2.62, 4 Li 2.62
As (0.7500, 0.7500, 0.2500)  4 Fe 2.62, 4 Li 2.62
Pt (0.2500, 0.2500, 0.7500)  4 Fe 2.62, 4 Li 2.62
Pt (0.2500, 0.7500, 0.2500)  4 Fe 2.62, 4 Li 2.62
Pt (0.7500, 0.2500, 0.2500)  4 Fe 2.62, 4 Li 2.62
Pt (0.7500, 0.7500, 0.7500)  4 Fe 2.62, 4 Li 2.62

Crystal system: cubic
Energy relative to the lowest polymorph listed for this composition in eV/atom: 0.000

---

[4]
The following is a DFT calculation (PBE-GGA) of a relaxed LiFeReAs crystal.

a = 5.8385 Å, b = 5.8385 Å, c = 5.8385 Å
α = 90.00°, β = 90.00°, γ = 90.00°
With the nearest neighbours (Å) after each atom.
Fractional coordinates of all 16 atoms:
Li (0.0000, 0.0000, 0.0000)  4 As 2.53, 4 Re 2.53
Li (0.0000, 0.5000, 0.5000)  4 As 2.53, 4 Re 2.53
Li (0.5000, 0.0000, 0.5000)  4 As 2.53, 4 Re 2.53
Li (0.5000, 0.5000, 0.0000)  4 As 2.53, 4 Re 2.53
Fe (0.0000, 0.0000, 0.5000)  4 As 2.53, 4 Re 2.53
Fe (0.0000, 0.5000, 0.0000)  4 As 2.53, 4 Re 2.53
Fe (0.5000, 0.0000, 0.0000)  4 As 2.53, 4 Re 2.53
Fe (0.5000, 0.5000, 0.5000)  4 As 2.53, 4 Re 2.53
Re (0.2500, 0.2500, 0.7500)  4 Fe 2.53, 4 Li 2.53
Re (0.2500, 0.7500, 0.2500)  4 Fe 2.53, 4 Li 2.53
Re (0.7500, 0.2500, 0.2500)  4 Fe 2.53, 4 Li 2.53
Re (0.7500, 0.7500, 0.7500)  4 Li 2.53, 4 Fe 2.53
As (0.2500, 0.2500, 0.2500)  4 Fe 2.53, 4 Li 2.53
As (0.2500, 0.7500, 0.7500)  4 Fe 2.53, 4 Li 2.53
As (0.7500, 0.2500, 0.7500)  4 Fe 2.53, 4 Li 2.53
As (0.7500, 0.7500, 0.2500)  4 Fe 2.53, 4 Li 2.53

Crystal system: cubic
Energy relative to the lowest polymorph listed for this composition in eV/atom: 0.061

---

[5]
The following is a DFT calculation (PBE-GGA) of a relaxed LiFeReAs crystal.

a = 5.8113 Å, b = 5.8113 Å, c = 5.8113 Å
α = 90.00°, β = 90.00°, γ = 90.00°
With the nearest neighbours (Å) after each atom.
Fractional coordinates of all 16 atoms:
Li (0.0000, 0.0000, 0.0000)  4 Fe 2.52, 4 Re 2.52
Li (0.0000, 0.5000, 0.5000)  4 Fe 2.52, 4 Re 2.52
Li (0.5000, 0.0000, 0.5000)  4 Fe 2.52, 4 Re 2.52
Li (0.5000, 0.5000, 0.0000)  4 Fe 2.52, 4 Re 2.52
Fe (0.2500, 0.2500, 0.7500)  4 As 2.52, 4 Li 2.52
Fe (0.2500, 0.7500, 0.2500)  4 As 2.52, 4 Li 2.52
Fe (0.7500, 0.2500, 0.2500)  4 As 2.52, 4 Li 2.52
Fe (0.7500, 0.7500, 0.7500)  4 As 2.52, 4 Li 2.52
Re (0.2500, 0.2500, 0.2500)  4 As 2.52, 4 Li 2.52
Re (0.2500, 0.7500, 0.7500)  4 Li 2.52, 4 As 2.52
Re (0.7500, 0.2500, 0.7500)  4 Li 2.52, 4 As 2.52
Re (0.7500, 0.7500, 0.2500)  4 Li 2.52, 4 As 2.52
As (0.0000, 0.0000, 0.5000)  4 Re 2.52, 4 Fe 2.52
As (0.0000, 0.5000, 0.0000)  4 Re 2.52, 4 Fe 2.52
As (0.5000, 0.0000, 0.0000)  4 Re 2.52, 4 Fe 2.52
As (0.5000, 0.5000, 0.5000)  4 Re 2.52, 4 Fe 2.52

Crystal system: cubic
Energy relative to the lowest polymorph listed for this composition in eV/atom: 0.000

---

[6]
The following is a DFT calculation (PBE-GGA) of a relaxed LiScFeAs crystal.

a = 6.2796 Å, b = 6.2796 Å, c = 6.2796 Å
α = 90.00°, β = 90.00°, γ = 90.00°
With the nearest neighbours (Å) after each atom.
Fractional coordinates of all 16 atoms:
Li (0.0000, 0.0000, 0.0000)  4 As 2.72, 4 Fe 2.72
Li (0.0000, 0.5000, 0.5000)  4 As 2.72, 4 Fe 2.72
Li (0.5000, 0.0000, 0.5000)  4 As 2.72, 4 Fe 2.72
Li (0.5000, 0.5000, 0.0000)  4 As 2.72, 4 Fe 2.72
Sc (0.0000, 0.0000, 0.5000)  4 Fe 2.72, 4 As 2.72
Sc (0.0000, 0.5000, 0.0000)  4 Fe 2.72, 4 As 2.72
Sc (0.5000, 0.0000, 0.0000)  4 Fe 2.72, 4 As 2.72
Sc (0.5000, 0.5000, 0.5000)  4 As 2.72, 4 Fe 2.72
Fe (0.2500, 0.2500, 0.7500)  4 Li 2.72, 4 Sc 2.72
Fe (0.2500, 0.7500, 0.2500)  4 Li 2.72, 4 Sc 2.72
Fe (0.7500, 0.2500, 0.2500)  4 Li 2.72, 4 Sc 2.72
Fe (0.7500, 0.7500, 0.7500)  4 Sc 2.72, 4 Li 2.72
As (0.2500, 0.2500, 0.2500)  4 Li 2.72, 4 Sc 2.72
As (0.2500, 0.7500, 0.7500)  4 Li 2.72, 4 Sc 2.72
As (0.7500, 0.2500, 0.7500)  4 Li 2.72, 4 Sc 2.72
As (0.7500, 0.7500, 0.2500)  4 Li 2.72, 4 Sc 2.72

Crystal system: cubic
Energy relative to the lowest polymorph listed for this composition in eV/atom: 0.129

---

[7]
The following is a DFT calculation (PBE-GGA) of a relaxed LiScFeAs crystal.

a = 6.0041 Å, b = 6.0041 Å, c = 6.0041 Å
α = 90.00°, β = 90.00°, γ = 90.00°
With the nearest neighbours (Å) after each atom.
Fractional coordinates of all 16 atoms:
Li (0.0000, 0.0000, 0.0000)  4 As 2.60, 4 Sc 2.60
Li (0.0000, 0.5000, 0.5000)  4 As 2.60, 4 Sc 2.60
Li (0.5000, 0.0000, 0.5000)  4 As 2.60, 4 Sc 2.60
Li (0.5000, 0.5000, 0.0000)  4 As 2.60, 4 Sc 2.60
Sc (0.2500, 0.2500, 0.2500)  4 Fe 2.60, 4 Li 2.60
Sc (0.2500, 0.7500, 0.7500)  4 Fe 2.60, 4 Li 2.60
Sc (0.7500, 0.2500, 0.7500)  4 Fe 2.60, 4 Li 2.60
Sc (0.7500, 0.7500, 0.2500)  4 Fe 2.60, 4 Li 2.60
Fe (0.0000, 0.0000, 0.5000)  4 As 2.60, 4 Sc 2.60
Fe (0.0000, 0.5000, 0.0000)  4 As 2.60, 4 Sc 2.60
Fe (0.5000, 0.0000, 0.0000)  4 As 2.60, 4 Sc 2.60
Fe (0.5000, 0.5000, 0.5000)  4 As 2.60, 4 Sc 2.60
As (0.2500, 0.2500, 0.7500)  4 Fe 2.60, 4 Li 2.60
As (0.2500, 0.7500, 0.2500)  4 Fe 2.60, 4 Li 2.60
As (0.7500, 0.2500, 0.2500)  4 Fe 2.60, 4 Li 2.60
As (0.7500, 0.7500, 0.7500)  4 Li 2.60, 4 Fe 2.60

Crystal system: cubic
Energy relative to the lowest polymorph listed for this composition in eV/atom: 0.000

---

[8]
The following is a DFT calculation (PBE-GGA) of a relaxed LiScFeAs crystal.

a = 6.0859 Å, b = 6.0859 Å, c = 6.0859 Å
α = 90.00°, β = 90.00°, γ = 90.00°
With the nearest neighbours (Å) after each atom.
Fractional coordinates of all 16 atoms:
Li (0.0000, 0.0000, 0.0000)  4 Fe 2.64, 4 Sc 2.64
Li (0.0000, 0.5000, 0.5000)  4 Fe 2.64, 4 Sc 2.64
Li (0.5000, 0.0000, 0.5000)  4 Fe 2.64, 4 Sc 2.64
Li (0.5000, 0.5000, 0.0000)  4 Fe 2.64, 4 Sc 2.64
Sc (0.2500, 0.2500, 0.2500)  4 Li 2.64, 4 As 2.64
Sc (0.2500, 0.7500, 0.7500)  4 Li 2.64, 4 As 2.64
Sc (0.7500, 0.2500, 0.7500)  4 Li 2.64, 4 As 2.64
Sc (0.7500, 0.7500, 0.2500)  4 Li 2.64, 4 As 2.64
Fe (0.2500, 0.2500, 0.7500)  4 As 2.64, 4 Li 2.64
Fe (0.2500, 0.7500, 0.2500)  4 As 2.64, 4 Li 2.64
Fe (0.7500, 0.2500, 0.2500)  4 As 2.64, 4 Li 2.64
Fe (0.7500, 0.7500, 0.7500)  4 As 2.64, 4 Li 2.64
As (0.0000, 0.0000, 0.5000)  4 Sc 2.64, 4 Fe 2.64
As (0.0000, 0.5000, 0.0000)  4 Sc 2.64, 4 Fe 2.64
As (0.5000, 0.0000, 0.0000)  4 Sc 2.64, 4 Fe 2.64
As (0.5000, 0.5000, 0.5000)  4 Sc 2.64, 4 Fe 2.64

Crystal system: cubic
Energy relative to the lowest polymorph listed for this composition in eV/atom: 0.104

---

[9]
The following is a DFT calculation (PBE-GGA) of a relaxed LiFeAsW crystal.

a = 5.9154 Å, b = 5.9154 Å, c = 5.9154 Å
α = 90.00°, β = 90.00°, γ = 90.00°
With the nearest neighbours (Å) after each atom.
Fractional coordinates of all 16 atoms:
Li (0.0000, 0.0000, 0.0000)  4 Fe 2.56, 4 W 2.56
Li (0.0000, 0.5000, 0.5000)  4 W 2.56, 4 Fe 2.56
Li (0.5000, 0.0000, 0.5000)  4 W 2.56, 4 Fe 2.56
Li (0.5000, 0.5000, 0.0000)  4 Fe 2.56, 4 W 2.56
Fe (0.2500, 0.2500, 0.7500)  4 As 2.56, 4 Li 2.56
Fe (0.2500, 0.7500, 0.2500)  4 As 2.56, 4 Li 2.56
Fe (0.7500, 0.2500, 0.2500)  4 As 2.56, 4 Li 2.56
Fe (0.7500, 0.7500, 0.7500)  4 Li 2.56, 4 As 2.56
As (0.0000, 0.0000, 0.5000)  4 W 2.56, 4 Fe 2.56
As (0.0000, 0.5000, 0.0000)  4 W 2.56, 4 Fe 2.56
As (0.5000, 0.0000, 0.0000)  4 W 2.56, 4 Fe 2.56
As (0.5000, 0.5000, 0.5000)  4 W 2.56, 4 Fe 2.56
W (0.2500, 0.2500, 0.2500)  4 As 2.56, 4 Li 2.56
W (0.2500, 0.7500, 0.7500)  4 As 2.56, 4 Li 2.56
W (0.7500, 0.2500, 0.7500)  4 As 2.56, 4 Li 2.56
W (0.7500, 0.7500, 0.2500)  4 As 2.56, 4 Li 2.56

Crystal system: cubic
Energy relative to the lowest polymorph listed for this composition in eV/atom: 0.080

---

[10]
The following is a DFT calculation (PBE-GGA) of a relaxed LiFeAsW crystal.

a = 5.8830 Å, b = 5.8830 Å, c = 5.8830 Å
α = 90.00°, β = 90.00°, γ = 90.00°
With the nearest neighbours (Å) after each atom.
Fractional coordinates of all 16 atoms:
Li (0.0000, 0.0000, 0.0000)  4 As 2.55, 4 W 2.55
Li (0.0000, 0.5000, 0.5000)  4 As 2.55, 4 W 2.55
Li (0.5000, 0.0000, 0.5000)  4 As 2.55, 4 W 2.55
Li (0.5000, 0.5000, 0.0000)  4 As 2.55, 4 W 2.55
Fe (0.0000, 0.0000, 0.5000)  4 W 2.55, 4 As 2.55
Fe (0.0000, 0.5000, 0.0000)  4 W 2.55, 4 As 2.55
Fe (0.5000, 0.0000, 0.0000)  4 W 2.55, 4 As 2.55
Fe (0.5000, 0.5000, 0.5000)  4 W 2.55, 4 As 2.55
As (0.2500, 0.2500, 0.2500)  4 Fe 2.55, 4 Li 2.55
As (0.2500, 0.7500, 0.7500)  4 Fe 2.55, 4 Li 2.55
As (0.7500, 0.2500, 0.7500)  4 Fe 2.55, 4 Li 2.55
As (0.7500, 0.7500, 0.2500)  4 Fe 2.55, 4 Li 2.55
W (0.2500, 0.2500, 0.7500)  4 Li 2.55, 4 Fe 2.55
W (0.2500, 0.7500, 0.2500)  4 Fe 2.55, 4 Li 2.55
W (0.7500, 0.2500, 0.2500)  4 Fe 2.55, 4 Li 2.55
W (0.7500, 0.7500, 0.7500)  4 Li 2.55, 4 Fe 2.55

Crystal system: cubic
Energy relative to the lowest polymorph listed for this composition in eV/atom: 0.000

---

[11]
The following is a DFT calculation (PBE-GGA) of a relaxed LiYFeAs crystal.

a = 6.4334 Å, b = 6.4334 Å, c = 6.4334 Å
α = 90.00°, β = 90.00°, γ = 90.00°
With the nearest neighbours (Å) after each atom.
Fractional coordinates of all 16 atoms:
Li (0.0000, 0.0000, 0.0000)  4 Y 2.79, 4 Fe 2.79
Li (0.0000, 0.5000, 0.5000)  4 Fe 2.79, 4 Y 2.79
Li (0.5000, 0.0000, 0.5000)  4 Fe 2.79, 4 Y 2.79
Li (0.5000, 0.5000, 0.0000)  4 Fe 2.79, 4 Y 2.79
Y (0.2500, 0.2500, 0.2500)  4 As 2.79, 4 Li 2.79
Y (0.2500, 0.7500, 0.7500)  4 As 2.79, 4 Li 2.79
Y (0.7500, 0.2500, 0.7500)  4 As 2.79, 4 Li 2.79
Y (0.7500, 0.7500, 0.2500)  4 As 2.79, 4 Li 2.79
Fe (0.2500, 0.2500, 0.7500)  4 As 2.79, 4 Li 2.79
Fe (0.2500, 0.7500, 0.2500)  4 As 2.79, 4 Li 2.79
Fe (0.7500, 0.2500, 0.2500)  4 As 2.79, 4 Li 2.79
Fe (0.7500, 0.7500, 0.7500)  4 As 2.79, 4 Li 2.79
As (0.0000, 0.0000, 0.5000)  4 Fe 2.79, 4 Y 2.79
As (0.0000, 0.5000, 0.0000)  4 Fe 2.79, 4 Y 2.79
As (0.5000, 0.0000, 0.0000)  4 Fe 2.79, 4 Y 2.79
As (0.5000, 0.5000, 0.5000)  4 Fe 2.79, 4 Y 2.79

Crystal system: cubic
Energy relative to the lowest polymorph listed for this composition in eV/atom: 0.101

---

[12]
The following is a DFT calculation (PBE-GGA) of a relaxed LiYFeAs crystal.

a = 6.2502 Å, b = 6.2502 Å, c = 6.2502 Å
α = 90.00°, β = 90.00°, γ = 90.00°
With the nearest neighbours (Å) after each atom.
Fractional coordinates of all 16 atoms:
Li (0.0000, 0.0000, 0.0000)  4 Y 2.71, 4 As 2.71
Li (0.0000, 0.5000, 0.5000)  4 Y 2.71, 4 As 2.71
Li (0.5000, 0.0000, 0.5000)  4 Y 2.71, 4 As 2.71
Li (0.5000, 0.5000, 0.0000)  4 Y 2.71, 4 As 2.71
Y (0.2500, 0.2500, 0.7500)  4 Fe 2.71, 4 Li 2.71
Y (0.2500, 0.7500, 0.2500)  4 Fe 2.71, 4 Li 2.71
Y (0.7500, 0.2500, 0.2500)  4 Fe 2.71, 4 Li 2.71
Y (0.7500, 0.7500, 0.7500)  4 Fe 2.71, 4 Li 2.71
Fe (0.0000, 0.0000, 0.5000)  4 As 2.71, 4 Y 2.71
Fe (0.0000, 0.5000, 0.0000)  4 As 2.71, 4 Y 2.71
Fe (0.5000, 0.0000, 0.0000)  4 As 2.71, 4 Y 2.71
Fe (0.5000, 0.5000, 0.5000)  4 As 2.71, 4 Y 2.71
As (0.2500, 0.2500, 0.2500)  4 Li 2.71, 4 Fe 2.71
As (0.2500, 0.7500, 0.7500)  4 Fe 2.71, 4 Li 2.71
As (0.7500, 0.2500, 0.7500)  4 Fe 2.71, 4 Li 2.71
As (0.7500, 0.7500, 0.2500)  4 Fe 2.71, 4 Li 2.71

Crystal system: cubic
Energy relative to the lowest polymorph listed for this composition in eV/atom: 0.000

---

no.,final energy (eV/atom)
1,-5.250
2,-5.435
3,-5.451
4,-6.491
5,-6.552
6,-5.552
7,-5.681
8,-5.577
9,-6.572
10,-6.652
11,-5.504
12,-5.605